# HgS2F

A relaxed structure of HgS2F (PBE, Alexandria).

Lattice parameters (Å, degrees): 4.1830 3.3297 11.4757 90.00 93.96 90.00
With the nearest neighbours (Å) after each atom.
Fractional coordinates of all 8 atoms:
Hg 0.1996 0.0000 0.3685  1 F 2.23
Hg 0.8004 0.5000 0.6315  1 F 2.23
S 0.0048 0.4996 0.9297  4 S 2.32-2.45
S 0.2630 0.4997 0.1993  2 S 2.45, 2 Hg 2.58-2.59
S 0.7370 0.9997 0.8007  2 S 2.45, 2 Hg 2.58-2.59
S 0.9952 0.9996 0.0703  4 S 2.32-2.45
F 0.2466 0.0030 0.5630  1 Hg 2.23
F 0.7534 0.5030 0.4370  1 Hg 2.23

Results
Energy relative to the elements, uncorrected   -1.2 eV per formula unit
E_tot   -2.895 eV per atom
Space group   P2_1, No. 4
Spin magnetization   0.00 μB/cell
Polymorph energy (0 for the lowest one)   0 meV/atom

---

# MnNiPd

A relaxed structure of MnNiPd (PBE, Alexandria).

Lattice parameters (Å, degrees): 5.2866 5.2866 5.2866 148.29 148.29 45.45
With the nearest neighbours (Å) after each atom.
Fractional coordinates of all 3 atoms:
Mn 0.0000 0.0000 0.0000  4 Ni 2.49, 4 Pd 2.67
Ni 0.6456 0.6456 0.0000  4 Mn 2.49, 4 Pd 2.68
Pd 0.3230 0.3230 0.0000  4 Mn 2.67, 4 Ni 2.68, 4 Pd 2.89

Results
E_tot   -6.785 eV per atom
Formation energy from the elements   -0.2 eV/f.u.
Space group   I4mm, No. 107
Spin magnetization   4.66 μB/cell
Polymorph energy (0 for the lowest one)   0 meV/atom

---

# Sr3CdBr8

A relaxed structure of Sr3CdBr8 (PBE, Alexandria).

Lattice parameters (Å, degrees): 7.8807 7.8807 8.6509 90.00 90.00 114.21
With the nearest neighbours (Å) after each atom.
Fractional coordinates of all 12 atoms:
Sr 0.0000 0.0000 0.0000  6 Br 3.07
Sr 0.0000 0.5000 0.7449  6 Br 3.05-3.09
Sr 0.5000 0.0000 0.2551  6 Br 3.05-3.09
Cd 0.0000 0.0000 0.5000  6 Br 2.83-2.86
Br 0.2140 0.7860 0.5000  1 Cd 2.83, 2 Sr 3.05
Br 0.2187 0.2519 0.7330  1 Cd 2.86, 2 Sr 3.07-3.09
Br 0.2319 0.7681 0.0000  3 Sr 3.07-3.08
Br 0.2519 0.2187 0.2670  1 Cd 2.86, 2 Sr 3.07-3.09
Br 0.7481 0.7813 0.2670  1 Cd 2.86, 2 Sr 3.07-3.09
Br 0.7681 0.2319 0.0000  3 Sr 3.07-3.08
Br 0.7813 0.7481 0.7330  1 Cd 2.86, 2 Sr 3.07-3.09
Br 0.7860 0.2140 0.5000  1 Cd 2.83, 2 Sr 3.05

Results
Energy relative to the elements, uncorrected   -21.3 eV per formula unit
E_tot   -3.390 eV per atom
Space group   C222, No. 21
Spin magnetization   0.00 μB/cell